1.
# PmMnNbSi2

PmMnNbSi2 after structural relaxation (PBE-GGA, Alexandria). Values from VASP.

## Properties
* symmetry: No. 119
* total magnetic moment: 0.3192 μB per atom
* uncorrected formation energy: -0.549 eV/atom
* DOS at the Fermi energy: 4.0 states/eV/f.u.

```
&SYSTEM
  ibrav = 0, nat = 5, ntyp = 4
/
ATOMIC_SPECIES
Pm 145.00 Pm.upf
Mn 54.94 Mn.upf
Nb 92.91 Nb.upf
Si 28.09 Si.upf
CELL_PARAMETERS angstrom
-2.001 2.001 5.655
2.001 -2.001 5.655
2.001 2.001 -5.655
ATOMIC_POSITIONS angstrom
Pm 0.000 0.000 0.000
Mn 0.000 2.001 2.827
Nb 2.001 0.000 2.827
Si 0.000 0.000 4.421
Si 0.000 0.000 6.889
```



2.
# Ta2Nb5Re

Ta2Nb5Re after structural relaxation (PBE-GGA, Alexandria). Values from VASP.

## Properties
* symmetry: No. 55
* total magnetic moment: 0.0000 μB per atom
* DOS at the Fermi energy: 8.7 states/eV/f.u.
* offset from the most stable computed form: 0.0000 eV/atom
* ΔH_f (0 K): -0.12 eV/atom

```
&SYSTEM
  ibrav = 0, nat = 16, ntyp = 3
/
ATOMIC_SPECIES
Ta 180.95 Ta.upf
Nb 92.91 Nb.upf
Re 186.21 Re.upf
CELL_PARAMETERS angstrom
6.585 0.000 0.000
0.000 13.201 0.000
0.000 0.000 3.260
ATOMIC_POSITIONS angstrom
Ta 1.558 1.598 0.000
Ta 1.734 8.199 0.000
Ta 4.851 5.003 0.000
Ta 5.027 11.603 0.000
Nb 0.000 6.601 1.630
Nb 0.065 9.897 1.630
Nb 1.636 4.972 0.000
Nb 1.656 11.573 0.000
Nb 3.227 3.296 1.630
Nb 3.292 0.000 1.630
Nb 3.357 9.905 1.630
Nb 4.929 1.628 0.000
Nb 4.949 8.229 0.000
Nb 6.520 3.304 1.630
Re 0.000 0.000 1.630
Re 3.292 6.601 1.630
```



3.
# BeHgPt3

BeHgPt3 after structural relaxation (PBE-GGA, Alexandria). Values from VASP.

## Properties
* symmetry: No. 160
* total magnetic moment: 0.0000 μB per atom
* DOS at the Fermi energy: 2.7 states/eV/f.u.
* offset from the most stable computed form: 0.1949 eV/atom
* ΔH_f (0 K): -0.11 eV/atom

```
&SYSTEM
  ibrav = 0, nat = 5, ntyp = 3
/
ATOMIC_SPECIES
Be 9.01 Be.upf
Hg 200.59 Hg.upf
Pt 195.08 Pt.upf
CELL_PARAMETERS angstrom
3.335 1.925 2.100
-3.335 1.925 2.100
0.000 -3.851 2.100
ATOMIC_POSITIONS angstrom
Be 0.000 0.000 0.000
Hg 0.000 0.000 3.836
Pt 0.000 -1.691 1.571
Pt -1.464 0.846 1.571
Pt 1.464 0.846 1.571
```



4.
# TaCr2Sb

TaCr2Sb after structural relaxation (PBE-GGA, Alexandria). Values from VASP.

## Properties
* symmetry: No. 6
* total magnetic moment: 0.2258 μB per atom
* uncorrected formation energy: 0.332 eV/atom
* DOS at the Fermi energy: 4.2 states/eV/f.u.
* offset from the most stable computed form: 0.2205 eV/atom

```
&SYSTEM
  ibrav = 0, nat = 4, ntyp = 3
/
ATOMIC_SPECIES
Ta 180.95 Ta.upf
Cr 52.00 Cr.upf
Sb 121.76 Sb.upf
CELL_PARAMETERS angstrom
2.968 0.000 0.000
0.000 4.287 0.000
-0.999 0.000 5.084
ATOMIC_POSITIONS angstrom
Ta 0.000 0.000 0.000
Cr 0.933 0.000 2.251
Cr 1.868 2.144 1.353
Sb 0.434 2.144 3.715
```